## Zn2C (PBE)

Data for a relaxed structure of Zn2C.

Summary:
energy of formation: 0.66 eV per atom
total energy: -3.2649 eV per atom
E above lowest polymorph: 35 meV per atom

POSCAR file:
```
Zn2C
1.0
4.817 0.000 0.000
0.000 4.817 0.000
0.000 0.000 3.323
Zn C
4 2
Direct
0.200 0.200 0.000
0.300 0.700 0.500
0.700 0.300 0.500
0.800 0.800 0.000
0.000 0.000 0.500
0.500 0.500 0.000
```